[1]
Compound: YMnRe
Source: Alexandria
Functional: PBE-GGA
Structure: relaxed

Computed properties:
Crystal system: orthorhombic
Offset from the most stable computed form: 366 meV/atom
Calculated total energy: -9.06 eV/atom
Total magnetization: 0.3 μB/f.u.

Unit cell a=7.344 b=7.344 c=4.299 alpha=90.00 beta=90.00 gamma=149.25
Fractional coordinates of all 6 atoms:
Y 0.089 0.911 0.750
Y 0.911 0.089 0.250
Mn 0.253 0.747 0.250
Mn 0.747 0.253 0.750
Re 0.339 0.661 0.750
Re 0.661 0.339 0.250

---

[2]
Compound: NiSn3Pt
Source: Alexandria
Functional: PBE-GGA
Structure: relaxed

Computed properties:
Crystal system: cubic
Offset from the most stable computed form: 430 meV/atom
Calculated total energy: -4.58 eV/atom
Total magnetization: 0.0 μB/f.u.

Unit cell a=4.871 b=4.871 c=4.871 alpha=90.00 beta=90.00 gamma=90.00
Fractional coordinates of all 5 atoms:
Ni 0.000 0.000 0.000
Sn 0.000 0.000 0.500
Sn 0.000 0.500 0.000
Sn 0.500 0.000 0.000
Pt 0.500 0.500 0.500

---

[3]
Compound: AgSbPb
Source: Alexandria
Functional: PBE-GGA
Structure: relaxed

Computed properties:
Crystal system: trigonal
Offset from the most stable computed form: 40 meV/atom
Calculated total energy: -3.50 eV/atom
Formation energy without anion corrections: 0.062 eV per atom
Total magnetization: 0.0 μB/f.u.

Unit cell a=4.706 b=4.706 c=4.391 alpha=90.00 beta=90.00 gamma=120.00
Fractional coordinates of all 3 atoms:
Ag 0.000 0.000 0.000
Sb 0.333 0.667 0.087
Pb 0.667 0.333 0.583

---

[4]
Compound: SnP3N
Source: Alexandria
Functional: PBE-GGA
Structure: relaxed

Computed properties:
Crystal system: cubic
Offset from the most stable computed form: 1400 meV/atom
Calculated total energy: -3.48 eV/atom
Formation energy without anion corrections: 2.231 eV per atom
Total magnetization: 2.1 μB/f.u.

Unit cell a=5.118 b=5.118 c=5.118 alpha=90.00 beta=90.00 gamma=90.00
Fractional coordinates of all 5 atoms:
Sn 0.000 0.000 0.000
P 0.000 0.000 0.500
P 0.000 0.500 0.000
P 0.500 0.000 0.000
N 0.500 0.500 0.500

---

[5]
Compound: KTcSb2
Source: Alexandria
Functional: PBE-GGA
Structure: relaxed

Computed properties:
Crystal system: orthorhombic
Offset from the most stable computed form: 141 meV/atom
Calculated total energy: -4.93 eV/atom
Formation energy without anion corrections: -0.005 eV per atom
Total magnetization: 0.0 μB/f.u.

Unit cell a=9.206 b=9.206 c=9.206 alpha=159.15 beta=157.42 gamma=30.92
Fractional coordinates of all 4 atoms:
K 0.000 0.000 0.000
Tc 0.763 0.263 0.500
Sb 0.333 0.833 0.500
Sb 0.645 0.645 0.000

---

[6]
Compound: CaZn3As
Source: Alexandria
Functional: PBE-GGA
Structure: relaxed

Computed properties:
Crystal system: cubic
Offset from the most stable computed form: 840 meV/atom
Calculated total energy: -1.10 eV/atom
Total magnetization: 0.0 μB/f.u.

Unit cell a=5.438 b=5.438 c=5.438 alpha=90.00 beta=90.00 gamma=90.00
Fractional coordinates of all 5 atoms:
Ca 0.000 0.000 0.000
Zn 0.000 0.000 0.500
Zn 0.000 0.500 0.000
Zn 0.500 0.000 0.000
As 0.500 0.500 0.500

---

[7]
Compound: Cs2PrRhO4
Source: Alexandria
Functional: PBE-GGA
Structure: relaxed

Computed properties:
Crystal system: orthorhombic
Calculated total energy: -5.57 eV/atom
Formation energy without anion corrections: -1.361 eV per atom
Total magnetization: 2.0 μB/f.u.

Unit cell a=14.608 b=13.170 c=7.695 alpha=84.55 beta=63.83 gamma=31.63
Fractional coordinates of all 16 atoms:
Cs 0.069 0.069 0.681
Cs 0.319 0.319 0.931
Cs 0.681 0.681 0.069
Cs 0.931 0.931 0.319
Pr 0.125 0.125 0.125
Pr 0.875 0.875 0.875
Rh 0.375 0.375 0.375
Rh 0.625 0.625 0.625
O 0.037 0.678 0.514
O 0.271 0.514 0.678
O 0.322 0.963 0.729
O 0.486 0.729 0.963
O 0.514 0.271 0.037
O 0.678 0.037 0.271
O 0.729 0.486 0.322
O 0.963 0.322 0.486

---

[8]
Compound: Sc2TaIr
Source: Alexandria
Functional: PBE-GGA
Structure: relaxed

Computed properties:
Crystal system: orthorhombic
Offset from the most stable computed form: 265 meV/atom
Calculated total energy: -8.48 eV/atom
Total magnetization: 0.0 μB/f.u.

Unit cell a=5.311 b=5.311 c=2.951 alpha=90.00 beta=90.00 gamma=117.21
Fractional coordinates of all 4 atoms:
Sc 0.000 0.500 0.000
Sc 0.500 0.000 0.000
Ta 0.000 0.000 0.500
Ir 0.500 0.500 0.500

---

[9]
Compound: Pm2Nd2DyMg
Source: Alexandria
Functional: PBE-GGA
Structure: relaxed

Computed properties:
Crystal system: orthorhombic
Calculated total energy: -4.11 eV/atom
Total magnetization: 0.0 μB/f.u.

Unit cell a=6.959 b=10.415 c=5.350 alpha=90.00 beta=90.00 gamma=90.00
Fractional coordinates of all 12 atoms:
Pm 0.240 0.157 0.000
Pm 0.260 0.657 0.500
Pm 0.740 0.343 0.500
Pm 0.760 0.843 0.000
Nd 0.241 0.840 0.000
Nd 0.259 0.340 0.500
Nd 0.741 0.660 0.500
Nd 0.759 0.160 0.000
Dy 0.000 0.500 0.000
Dy 0.500 0.000 0.500
Mg 0.000 0.000 0.500
Mg 0.500 0.500 0.000

---

[10]
Compound: HfMgZr3
Source: Alexandria
Functional: PBE-GGA
Structure: relaxed

Computed properties:
Crystal system: cubic
Offset from the most stable computed form: 1025 meV/atom
Calculated total energy: -6.30 eV/atom
Total magnetization: 0.0 μB/f.u.

Unit cell a=5.046 b=5.046 c=5.046 alpha=90.00 beta=90.00 gamma=90.00
Fractional coordinates of all 5 atoms:
Hf 0.000 0.000 0.000
Mg 0.500 0.500 0.500
Zr 0.000 0.500 0.500
Zr 0.500 0.000 0.500
Zr 0.500 0.500 0.000

---

[11]
Compound: RbPm2CdTe4
Source: Alexandria
Functional: PBE-GGA
Structure: relaxed

Computed properties:
Crystal system: orthorhombic
Calculated total energy: -4.09 eV/atom
Formation energy without anion corrections: -1.097 eV per atom
Total magnetization: 0.0 μB/f.u.

Unit cell a=8.188 b=8.188 c=16.154 alpha=90.00 beta=90.00 gamma=147.69
Fractional coordinates of all 16 atoms:
Rb 0.124 0.876 0.750
Rb 0.876 0.124 0.250
Pm 0.376 0.624 0.556
Pm 0.376 0.624 0.944
Pm 0.624 0.376 0.056
Pm 0.624 0.376 0.444
Cd 0.161 0.839 0.250
Cd 0.839 0.161 0.750
Te 0.000 0.000 0.000
Te 0.000 0.000 0.500
Te 0.264 0.736 0.107
Te 0.264 0.736 0.393
Te 0.445 0.555 0.750
Te 0.555 0.445 0.250
Te 0.736 0.264 0.607
Te 0.736 0.264 0.893

---

[12]
Compound: Na2TlCdHg
Source: Alexandria
Functional: PBE-GGA
Structure: relaxed

Computed properties:
Crystal system: orthorhombic
Offset from the most stable computed form: 0 meV/atom
Calculated total energy: -1.34 eV/atom
Total magnetization: 0.0 μB/f.u.

Unit cell a=8.382 b=8.382 c=8.382 alpha=157.17 beta=142.94 gamma=43.97
Fractional coordinates of all 5 atoms:
Na 0.000 0.000 0.000
Na 0.369 0.369 0.000
Tl 0.585 0.585 0.000
Cd 0.188 0.688 0.500
Hg 0.796 0.796 0.000